(1)
{"formula": "SiSn2Sb", "functional": "PBE", "state": "optimized geometry", "final_energy_ev_per_fu": -16.16, "space_group": "Fm-3m", "relative_energy_ev_per_fu": 0.56, "density_g_cm3": 6.5, "lattice_angstrom": [[0.000, 3.666, 3.666], [3.666, 0.000, 3.666], [3.666, 3.666, 0.000]], "species": ["Si", "Sn", "Sn", "Sb"], "fractional_positions": [[0.000, 0.000, 0.000], [0.250, 0.250, 0.250], [0.750, 0.750, 0.750], [0.500, 0.500, 0.500]]}

***

(2)
{"formula": "CsTl6Se4", "functional": "PBE", "state": "optimized geometry", "final_energy_ev_per_fu": -33.38, "space_group": "Cm", "relative_energy_ev_per_fu": 0.20, "density_g_cm3": 6.8, "lattice_angstrom": [[5.441, -6.359, 0.000], [5.441, 6.359, 0.000], [-5.118, 0.000, 5.900]], "species": ["Cs", "Tl", "Tl", "Tl", "Tl", "Tl", "Tl", "Se", "Se", "Se", "Se"], "fractional_positions": [[0.000, 0.000, 0.000], [0.038, 0.518, 0.510], [0.224, 0.224, 0.752], [0.507, 0.811, 0.000], [0.518, 0.038, 0.510], [0.525, 0.525, 0.304], [0.811, 0.507, 0.000], [0.171, 0.632, 0.013], [0.398, 0.398, 0.570], [0.632, 0.171, 0.013], [0.860, 0.860, 0.386]]}

***

(3)
{"formula": "KFe2Cu", "functional": "PBE", "state": "optimized geometry", "final_energy_ev_per_fu": -17.64, "formation_energy_mev_per_atom": 1119, "space_group": "Cmmm", "relative_energy_ev_per_fu": 2.10, "density_g_cm3": 5.3, "lattice_angstrom": [[2.673, -4.837, 0.000], [2.673, 4.837, 0.000], [0.000, 0.000, 2.580]], "species": ["K", "Fe", "Fe", "Cu"], "fractional_positions": [[0.000, 0.000, 0.000], [0.000, 0.500, 0.500], [0.500, 0.000, 0.500], [0.500, 0.500, 0.000]]}

***

(4)
{"formula": "La8ZnOs2", "functional": "PBE", "state": "optimized geometry", "final_energy_ev_per_fu": -63.90, "formation_energy_mev_per_atom": -68, "space_group": "Cm", "density_g_cm3": 7.5, "lattice_angstrom": [[4.377, -6.937, 0.000], [4.377, 6.937, 0.000], [-1.599, 0.000, 5.666]], "species": ["La", "La", "La", "La", "La", "La", "La", "La", "Zn", "Os", "Os"], "fractional_positions": [[0.000, 0.000, 0.000], [0.061, 0.313, 0.644], [0.152, 0.639, 0.199], [0.313, 0.061, 0.644], [0.476, 0.729, 0.754], [0.639, 0.152, 0.199], [0.729, 0.476, 0.754], [0.787, 0.787, 0.396], [0.394, 0.394, 0.202], [0.100, 0.689, 0.698], [0.689, 0.100, 0.698]]}

***

(5)
{"formula": "PuInHg6", "functional": "PBE", "state": "optimized geometry", "final_energy_ev_per_fu": -19.22, "formation_energy_mev_per_atom": -42, "space_group": "C2/m", "relative_energy_ev_per_fu": 0.08, "density_g_cm3": 12.6, "lattice_angstrom": [[7.132, -1.665, 0.000], [7.132, 1.665, 0.000], [-6.660, 0.000, 8.649]], "species": ["Pu", "In", "Hg", "Hg", "Hg", "Hg", "Hg", "Hg"], "fractional_positions": [[0.000, 0.000, 0.000], [0.500, 0.500, 0.500], [0.127, 0.127, 0.378], [0.249, 0.249, 0.753], [0.379, 0.379, 0.129], [0.621, 0.621, 0.871], [0.751, 0.751, 0.247], [0.873, 0.873, 0.622]]}

***

(6)
{"formula": "GaAgSe2", "functional": "PBE", "state": "optimized geometry", "final_energy_ev_per_fu": -14.53, "space_group": "P-4m2", "density_g_cm3": 5.4, "lattice_angstrom": [[4.026, 0.000, 0.000], [0.000, 4.026, 0.000], [0.000, 0.000, 6.349]], "species": ["Ga", "Ag", "Se", "Se"], "fractional_positions": [[0.000, 0.000, 0.000], [0.500, 0.500, 0.500], [0.000, 0.500, 0.227], [0.500, 0.000, 0.773]]}

***

(7)
{"formula": "KZrAgBi2", "functional": "PBE", "state": "optimized geometry", "final_energy_ev_per_fu": -13.83, "formation_energy_mev_per_atom": 1286, "space_group": "P4/mmm", "density_g_cm3": 6.6, "lattice_angstrom": [[5.754, 0.000, 0.000], [0.000, 5.754, 0.000], [0.000, 0.000, 5.018]], "species": ["K", "Zr", "Ag", "Bi", "Bi"], "fractional_positions": [[0.000, 0.000, 0.000], [0.500, 0.500, 0.500], [0.000, 0.000, 0.500], [0.000, 0.500, 0.000], [0.500, 0.000, 0.000]]}

***

(8)
{"formula": "Ca5TlAu4", "functional": "PBE", "state": "optimized geometry", "final_energy_ev_per_fu": -32.60, "formation_energy_mev_per_atom": -712, "space_group": "P4/mmm", "density_g_cm3": 7.9, "lattice_angstrom": [[3.656, 0.000, 0.000], [0.000, 3.656, 0.000], [0.000, 0.000, 18.823]], "species": ["Ca", "Ca", "Ca", "Ca", "Ca", "Tl", "Au", "Au", "Au", "Au"], "fractional_positions": [[0.000, 0.000, 0.000], [0.000, 0.000, 0.192], [0.000, 0.000, 0.383], [0.000, 0.000, 0.617], [0.000, 0.000, 0.808], [0.500, 0.500, 0.500], [0.500, 0.500, 0.096], [0.500, 0.500, 0.289], [0.500, 0.500, 0.711], [0.500, 0.500, 0.904]]}

***

(9)
{"formula": "Sb2PAu2", "functional": "PBE", "state": "optimized geometry", "final_energy_ev_per_fu": -18.75, "space_group": "I4/mmm", "relative_energy_ev_per_fu": 1.22, "density_g_cm3": 9.8, "lattice_angstrom": [[-1.908, 1.908, 7.798], [1.908, -1.908, 7.798], [1.908, 1.908, -7.798]], "species": ["Sb", "Sb", "P", "Au", "Au"], "fractional_positions": [[0.099, 0.099, 0.000], [0.901, 0.901, 0.000], [0.500, 0.500, 0.000], [0.250, 0.750, 0.500], [0.750, 0.250, 0.500]]}

***

(10)
{"formula": "Ti3InTc2", "functional": "PBE", "state": "optimized geometry", "final_energy_ev_per_fu": -49.82, "formation_energy_mev_per_atom": -444, "space_group": "P4/mmm", "density_g_cm3": 7.7, "lattice_angstrom": [[3.191, 0.000, 0.000], [0.000, 3.191, 0.000], [0.000, 0.000, 9.664]], "species": ["Ti", "Ti", "Ti", "In", "Tc", "Tc"], "fractional_positions": [[0.000, 0.000, 0.000], [0.000, 0.000, 0.302], [0.000, 0.000, 0.698], [0.500, 0.500, 0.500], [0.500, 0.500, 0.162], [0.500, 0.500, 0.838]]}

***

(11)
{"formula": "SrSc2Cl", "functional": "PBE", "state": "optimized geometry", "final_energy_ev_per_fu": -17.22, "space_group": "R-3m", "relative_energy_ev_per_fu": 1.28, "density_g_cm3": 2.9, "lattice_angstrom": [[1.799, 1.039, 10.967], [-1.799, 1.039, 10.967], [0.000, -2.077, 10.967]], "species": ["Sr", "Sc", "Sc", "Cl"], "fractional_positions": [[0.000, 0.000, 0.000], [0.425, 0.425, 0.425], [0.575, 0.575, 0.575], [0.500, 0.500, 0.500]]}

***

(12)
{"formula": "TmSbPdAu", "functional": "PBE", "state": "optimized geometry", "final_energy_ev_per_fu": -19.81, "space_group": "F-43m", "density_g_cm3": 12.0, "lattice_angstrom": [[0.000, 3.453, 3.453], [3.453, 0.000, 3.453], [3.453, 3.453, 0.000]], "species": ["Tm", "Sb", "Pd", "Au"], "fractional_positions": [[0.000, 0.000, 0.000], [0.500, 0.500, 0.500], [0.250, 0.250, 0.250], [0.750, 0.750, 0.750]]}

***

(13)
{"formula": "TaAgS3", "functional": "PBE", "state": "optimized geometry", "final_energy_ev_per_fu": -30.19, "space_group": "P-1", "relative_energy_ev_per_fu": 0.19, "density_g_cm3": 6.0, "lattice_angstrom": [[3.291, 0.000, 0.000], [0.122, 7.142, 0.000], [0.058, 1.813, 9.099]], "species": ["Ta", "Ta", "Ag", "Ag", "S", "S", "S", "S", "S", "S"], "fractional_positions": [[0.249, 0.412, 0.216], [0.751, 0.588, 0.784], [0.260, 0.018, 0.841], [0.740, 0.982, 0.159], [0.243, 0.674, 0.969], [0.246, 0.798, 0.635], [0.259, 0.357, 0.724], [0.741, 0.643, 0.276], [0.754, 0.202, 0.365], [0.757, 0.326, 0.031]]}

***

(14)
{"formula": "Cr2HgOs", "functional": "PBE", "state": "optimized geometry", "final_energy_ev_per_fu": -28.84, "formation_energy_mev_per_atom": 484, "space_group": "Pmm2", "density_g_cm3": 13.6, "lattice_angstrom": [[2.827, 0.000, 0.000], [0.000, 3.668, 0.000], [0.000, 0.000, 5.837]], "species": ["Cr", "Cr", "Hg", "Os"], "fractional_positions": [[0.000, 0.000, 0.000], [0.500, 0.500, 0.209], [0.000, 0.000, 0.494], [0.500, 0.500, 0.809]]}

***

(15)
{"formula": "TaTiCu2Mo", "functional": "PBE", "state": "optimized geometry", "final_energy_ev_per_fu": -31.44, "formation_energy_mev_per_atom": 1465, "space_group": "P4/mmm", "density_g_cm3": 7.4, "lattice_angstrom": [[4.674, 0.000, 0.000], [0.000, 4.674, 0.000], [0.000, 0.000, 4.660]], "species": ["Ta", "Ti", "Cu", "Cu", "Mo"], "fractional_positions": [[0.000, 0.000, 0.000], [0.500, 0.500, 0.500], [0.000, 0.500, 0.000], [0.500, 0.000, 0.000], [0.000, 0.000, 0.500]]}

***

(16)
{"formula": "HfCdPd", "functional": "PBE", "state": "optimized geometry", "final_energy_ev_per_fu": -17.02, "formation_energy_mev_per_atom": -318, "space_group": "P-6m2", "density_g_cm3": 11.8, "lattice_angstrom": [[4.713, 0.000, 0.000], [-2.356, 4.082, 0.000], [0.000, 0.000, 2.914]], "species": ["Hf", "Cd", "Pd"], "fractional_positions": [[0.000, 0.000, 0.000], [0.667, 0.333, 0.500], [0.333, 0.667, 0.500]]}

***

(17)
{"formula": "Li2TcOs", "functional": "PBE", "state": "optimized geometry", "final_energy_ev_per_fu": -24.41, "formation_energy_mev_per_atom": 254, "space_group": "R-3m", "relative_energy_ev_per_fu": 0.58, "density_g_cm3": 8.8, "lattice_angstrom": [[1.320, 0.762, 9.405], [-1.320, 0.762, 9.405], [0.000, -1.525, 9.405]], "species": ["Li", "Li", "Tc", "Os"], "fractional_positions": [[0.248, 0.248, 0.248], [0.752, 0.752, 0.752], [0.000, 0.000, 0.000], [0.500, 0.500, 0.500]]}

***

(18)
{"formula": "NaLa2ZnIn", "functional": "PBE", "state": "optimized geometry", "final_energy_ev_per_fu": -14.56, "formation_energy_mev_per_atom": 126, "space_group": "P4/mmm", "density_g_cm3": 4.7, "lattice_angstrom": [[5.743, 0.000, 0.000], [0.000, 5.743, 0.000], [0.000, 0.000, 5.169]], "species": ["Na", "La", "La", "Zn", "In"], "fractional_positions": [[0.000, 0.000, 0.000], [0.000, 0.500, 0.500], [0.500, 0.000, 0.500], [0.000, 0.000, 0.500], [0.500, 0.500, 0.000]]}

***

(19)
{"formula": "NaAgP2Cl", "functional": "PBE", "state": "optimized geometry", "final_energy_ev_per_fu": -11.94, "space_group": "P4/mmm", "relative_energy_ev_per_fu": 3.28, "density_g_cm3": 3.0, "lattice_angstrom": [[5.063, 0.000, 0.000], [0.000, 5.063, 0.000], [0.000, 0.000, 5.003]], "species": ["Na", "Ag", "P", "P", "Cl"], "fractional_positions": [[0.000, 0.000, 0.000], [0.500, 0.500, 0.500], [0.000, 0.500, 0.000], [0.500, 0.000, 0.000], [0.000, 0.000, 0.500]]}

***

(20)
{"formula": "LaEr2", "functional": "PBE", "state": "optimized geometry", "final_energy_ev_per_fu": -13.95, "formation_energy_mev_per_atom": 35, "space_group": "I4/mmm", "relative_energy_ev_per_fu": 0.03, "density_g_cm3": 8.0, "lattice_angstrom": [[-1.800, 1.800, 7.583], [1.800, -1.800, 7.583], [1.800, 1.800, -7.583]], "species": ["La", "Er", "Er"], "fractional_positions": [[0.000, 0.000, 0.000], [0.330, 0.330, 0.000], [0.670, 0.670, 0.000]]}

***

(21)
{"formula": "SmSc2Fe9", "functional": "PBE", "state": "optimized geometry", "final_energy_ev_per_fu": -95.19, "formation_energy_mev_per_atom": -137, "space_group": "R-3m", "density_g_cm3": 7.2, "lattice_angstrom": [[2.496, 1.441, 7.922], [-2.496, 1.441, 7.922], [0.000, -2.883, 7.922]], "species": ["Sm", "Sc", "Sc", "Fe", "Fe", "Fe", "Fe", "Fe", "Fe", "Fe", "Fe", "Fe"], "fractional_positions": [[0.000, 0.000, 0.000], [0.143, 0.143, 0.143], [0.857, 0.857, 0.857], [0.083, 0.586, 0.586], [0.333, 0.333, 0.333], [0.414, 0.414, 0.917], [0.414, 0.917, 0.414], [0.500, 0.500, 0.500], [0.586, 0.083, 0.586], [0.586, 0.586, 0.083], [0.667, 0.667, 0.667], [0.917, 0.414, 0.414]]}

***

(22)
{"formula": "YAlGaPd3", "functional": "PBE", "state": "optimized geometry", "final_energy_ev_per_fu": -32.76, "formation_energy_mev_per_atom": -659, "space_group": "Cmcm", "density_g_cm3": 7.4, "lattice_angstrom": [[3.308, -6.110, 0.000], [3.308, 6.110, 0.000], [0.000, 0.000, 5.607]], "species": ["Y", "Y", "Al", "Al", "Ga", "Ga", "Pd", "Pd", "Pd", "Pd", "Pd", "Pd"], "fractional_positions": [[0.201, 0.799, 0.750], [0.799, 0.201, 0.250], [0.449, 0.551, 0.750], [0.551, 0.449, 0.250], [0.137, 0.863, 0.250], [0.863, 0.137, 0.750], [0.207, 0.207, 0.000], [0.207, 0.207, 0.500], [0.341, 0.659, 0.250], [0.659, 0.341, 0.750], [0.793, 0.793, 0.000], [0.793, 0.793, 0.500]]}

***

(23)
{"formula": "SrTcN3", "functional": "PBE", "state": "optimized geometry", "final_energy_ev_per_fu": -38.65, "space_group": "P1", "density_g_cm3": 4.9, "lattice_angstrom": [[3.645, 0.000, 0.000], [-0.639, 5.643, 0.000], [-0.657, -1.309, 7.464]], "species": ["Sr", "Sr", "Tc", "Tc", "N", "N", "N", "N", "N", "N"], "fractional_positions": [[0.000, 0.000, 0.000], [0.145, 0.432, 0.510], [0.516, 0.932, 0.353], [0.655, 0.511, 0.146], [0.427, 0.028, 0.751], [0.489, 0.030, 0.600], [0.570, 0.230, 0.255], [0.693, 0.547, 0.910], [0.736, 0.558, 0.755], [0.975, 0.782, 0.311]]}

***

(24)
{"formula": "UNbH2", "functional": "PBE", "state": "optimized geometry", "final_energy_ev_per_fu": -28.44, "space_group": "R-3m", "density_g_cm3": 12.3, "lattice_angstrom": [[1.480, 0.855, 5.940], [-1.480, 0.855, 5.940], [0.000, -1.709, 5.940]], "species": ["U", "Nb", "H", "H"], "fractional_positions": [[0.000, 0.000, 0.000], [0.500, 0.500, 0.500], [0.232, 0.232, 0.232], [0.768, 0.768, 0.768]]}

***

(25)
{"formula": "K3UMn2S6", "functional": "PBE", "state": "optimized geometry", "final_energy_ev_per_fu": -70.71, "space_group": "C2/m", "density_g_cm3": 3.8, "lattice_angstrom": [[3.345, -5.795, 0.000], [3.345, 5.795, 0.000], [-2.224, 0.000, 7.321]], "species": ["K", "K", "K", "U", "Mn", "Mn", "S", "S", "S", "S", "S", "S"], "fractional_positions": [[0.000, 0.000, 0.000], [0.332, 0.668, 0.000], [0.668, 0.332, 0.000], [0.500, 0.500, 0.500], [0.166, 0.834, 0.500], [0.834, 0.166, 0.500], [0.100, 0.436, 0.307], [0.228, 0.228, 0.693], [0.436, 0.100, 0.307], [0.564, 0.900, 0.693], [0.772, 0.772, 0.307], [0.900, 0.564, 0.693]]}

***

(26)
{"formula": "Ce6GaGe", "functional": "PBE", "state": "optimized geometry", "final_energy_ev_per_fu": -43.80, "formation_energy_mev_per_atom": -69, "space_group": "C2/m", "relative_energy_ev_per_fu": 2.06, "density_g_cm3": 7.3, "lattice_angstrom": [[3.845, -4.682, 0.000], [3.845, 4.682, 0.000], [-1.796, 0.000, 6.177]], "species": ["Ce", "Ce", "Ce", "Ce", "Ce", "Ce", "Ga", "Ge"], "fractional_positions": [[0.087, 0.648, 0.690], [0.326, 0.326, 0.876], [0.352, 0.913, 0.310], [0.648, 0.087, 0.690], [0.674, 0.674, 0.124], [0.913, 0.352, 0.310], [0.000, 0.000, 0.000], [0.500, 0.500, 0.500]]}